1.
Be3CuNi after structural relaxation. Source: Alexandria via LeMat-Bulk, functional GGA-PBE.

Cell: 2.421 5.723 4.353 Å, 112.28 56.28 101.97°
Positions (direct):
1 Ni 0.988 0.703 0.000
2 Be 0.991 0.576 0.436
3 Be 0.492 0.942 0.620
4 Be 0.491 0.348 0.822
5 Cu 0.491 0.156 0.226

Output
* symmetry: No. 8
* V: 9.28 Å³ per atom
* density of states at the Fermi level: 0.39 states/eV per atom
* magnetization: 0.0 μB/f.u.
* excess energy over the best structure of this formula in the dataset: 0 meV per atom



2.
Be6CuNi after structural relaxation. Source: Alexandria via LeMat-Bulk, functional GGA-PBE.

Cell: 3.719 4.085 4.573 Å, 90.00 90.00 90.00°
Positions (direct):
1 Be 0.500 0.846 0.260
2 Be 0.500 0.325 0.000
3 Be 0.000 0.659 0.500
4 Be 0.000 0.160 0.253
5 Be 0.500 0.846 0.740
6 Be 0.000 0.160 0.747
7 Cu 0.000 0.657 0.000
8 Ni 0.500 0.346 0.500

Output
* symmetry: No. 25
* calculated total energy: -4.20 eV/atom
* V: 8.68 Å³ per atom
* density of states at the Fermi level: 0.26 states/eV per atom
* magnetization: 0.0 μB/f.u.



3.
BeCuNi after structural relaxation. Source: Alexandria via LeMat-Bulk, functional GGA-PBE.

Cell: 3.613 3.613 3.613 Å, 60.00 60.00 60.00°
Positions (direct):
1 Be 0.750 0.750 0.750
2 Cu 0.000 0.000 0.000
3 Ni 0.500 0.500 0.500

Output
* symmetry: No. 216
* V: 11.11 Å³ per atom
* density of states at the Fermi level: 0.22 states/eV per atom
* magnetization: 0.0 μB/f.u.
* excess energy over the best structure of this formula in the dataset: 281 meV per atom



4.
BeCuNi2 after structural relaxation. Source: Alexandria via LeMat-Bulk, functional GGA-PBE.

Cell: 3.338 3.338 8.470 Å, 78.63 78.63 90.00°
Last column: magnetic moment on the atom in μB.
Positions (direct):
1 Ni 0.137 0.625 0.250  0.06
2 Ni 0.875 0.863 0.750  0.05
3 Ni 0.375 0.387 0.750  0.05
4 Ni 0.613 0.125 0.250  0.06
5 Cu 0.000 0.000 0.000  0.00
6 Cu 0.750 0.250 0.500  0.00
7 Be 0.250 0.750 0.500  0.00
8 Be 0.500 0.500 0.000  0.00

Output
* symmetry: No. 122
* calculated total energy: -4.57 eV/atom
* V: 11.33 Å³ per atom
* density of states at the Fermi level: 0.94 states/eV per atom
* magnetization: 0.1 μB/f.u.



5.
BeCuNi after structural relaxation. Source: Alexandria via LeMat-Bulk, functional GGA-PBE.

Cell: 3.774 3.774 2.482 Å, 90.00 90.00 120.00°
Positions (direct):
1 Ni 0.333 0.667 0.717
2 Be 0.000 0.000 0.006
3 Cu 0.667 0.333 0.277

Output
* symmetry: No. 156
* V: 10.21 Å³ per atom
* density of states at the Fermi level: 0.38 states/eV per atom
* magnetization: 0.0 μB/f.u.
* excess energy over the best structure of this formula in the dataset: 105 meV per atom



6.
BeCuNi4 after structural relaxation. Source: Alexandria via LeMat-Bulk, functional GGA-PBE.

Cell: 2.503 2.503 9.885 Å, 90.00 90.00 90.00°
Positions (direct):
1 Ni 0.000 0.000 0.639
2 Ni 0.500 0.500 0.817
3 Ni 0.000 0.000 0.361
4 Ni 0.500 0.500 0.183
5 Cu 0.000 0.000 0.000
6 Be 0.500 0.500 0.500

Output
* symmetry: No. 123
* V: 10.32 Å³ per atom
* density of states at the Fermi level: 1.55 states/eV per atom
* magnetization: 0.0 μB/f.u.
* excess energy over the best structure of this formula in the dataset: 0 meV per atom



7.
Be4CuNi3 after structural relaxation. Source: Alexandria via LeMat-Bulk, functional GGA-PBE.

Cell: 2.602 2.602 10.801 Å, 90.00 90.00 90.00°
Positions (direct):
1 Ni 0.500 0.500 0.744
2 Ni 0.500 0.500 0.256
3 Ni 0.500 0.500 0.500
4 Be 0.000 0.000 0.623
5 Be 0.000 0.000 0.377
6 Be 0.000 0.000 0.865
7 Be 0.000 0.000 0.135
8 Cu 0.500 0.500 0.000

Output
* symmetry: No. 123
* calculated total energy: -4.92 eV/atom
* V: 9.14 Å³ per atom
* density of states at the Fermi level: 0.39 states/eV per atom
* magnetization: 0.0 μB/f.u.



8.
Be4Cu3Ni2 after structural relaxation. Source: Alexandria via LeMat-Bulk, functional GGA-PBE.

Cell: 3.761 3.773 7.080 Å, 89.74 90.00 60.11°
Positions (direct):
1 Be 0.000 0.001 0.674
2 Be 0.667 0.667 0.893
3 Be 0.333 0.333 0.107
4 Be 0.000 0.999 0.326
5 Cu 0.333 0.333 0.423
6 Cu 0.000 0.000 0.000
7 Cu 0.667 0.667 0.577
8 Ni 0.667 0.667 0.213
9 Ni 0.333 0.333 0.787

Output
* symmetry: No. 12
* calculated total energy: -4.51 eV/atom
* V: 9.68 Å³ per atom
* density of states at the Fermi level: 0.47 states/eV per atom
* magnetization: 0.0 μB/f.u.